Here is SeBrCl2 after structural relaxation from Alexandria. Energies are from PBE.

```
data_SeBrCl2
_chemical_formula_sum 'Se1 Br1 Cl2'
_symmetry_space_group_name_H-M 'P 1'
_symmetry_Int_Tables_number 1
_cell_length_a 8.0587
_cell_length_b 8.0587
_cell_length_c 2.3805
_cell_angle_alpha 90.00
_cell_angle_beta 90.00
_cell_angle_gamma 90.00
loop_
_symmetry_equiv_pos_as_xyz
'x,y,z'
loop_
_atom_site_label
_atom_site_fract_x
_atom_site_fract_y
_atom_site_fract_z
Se1 0.0000 0.0000 0.0000
Br1 0.5000 0.5000 0.0000
Cl1 0.0000 0.5000 0.5000
Cl2 0.5000 0.0000 0.5000
```

Energy   -7.6 eV/f.u.
Energy relative to the lowest polymorph listed for this composition   492 meV/atom
Magnetic moment   0.65 μB/f.u.
Theoretical density   2.47 Mg/m³

Here is Se2BrCl after structural relaxation from Alexandria. Energies are from PBE.

```
data_Se2BrCl
_chemical_formula_sum 'Se2 Br1 Cl1'
_symmetry_space_group_name_H-M 'P 1'
_symmetry_Int_Tables_number 1
_cell_length_a 3.7929
_cell_length_b 3.8310
_cell_length_c 8.4113
_cell_angle_alpha 90.00
_cell_angle_beta 90.00
_cell_angle_gamma 90.00
loop_
_symmetry_equiv_pos_as_xyz
'x,y,z'
loop_
_atom_site_label
_atom_site_fract_x
_atom_site_fract_y
_atom_site_fract_z
Se1 0.0000 0.0000 0.0000
Se2 0.5000 0.0000 0.5000
Br1 0.0000 0.5000 0.5000
Cl1 0.5000 0.5000 0.0000
```

Energy   -8.9 eV/f.u.
Magnetic moment   0.00 μB/f.u.
Theoretical density   3.71 Mg/m³

Here is SeBrCl after structural relaxation from Alexandria. Energies are from PBE.

```
data_SeBrCl
_chemical_formula_sum 'Se1 Br1 Cl1'
_symmetry_space_group_name_H-M 'P 1'
_symmetry_Int_Tables_number 1
_cell_length_a 6.3225
_cell_length_b 6.3225
_cell_length_c 6.3225
_cell_angle_alpha 153.79
_cell_angle_beta 95.89
_cell_angle_gamma 90.01
loop_
_symmetry_equiv_pos_as_xyz
'x,y,z'
loop_
_atom_site_label
_atom_site_fract_x
_atom_site_fract_y
_atom_site_fract_z
Se1 0.0000 0.0000 0.0000
Br1 0.6713 0.6713 0.0000
Cl1 0.2418 0.2418 0.0000
```

Energy   -6.8 eV/f.u.
Energy relative to the lowest polymorph listed for this composition   237 meV/atom
Magnetic moment   0.01 μB/f.u.
Theoretical density   2.97 Mg/m³

Here is SeBrCl2 after structural relaxation from Alexandria. Energies are from PBE.

```
data_SeBrCl2
_chemical_formula_sum 'Se1 Br1 Cl2'
_symmetry_space_group_name_H-M 'P 1'
_symmetry_Int_Tables_number 1
_cell_length_a 5.3377
_cell_length_b 5.3377
_cell_length_c 3.1698
_cell_angle_alpha 90.00
_cell_angle_beta 90.00
_cell_angle_gamma 107.44
loop_
_symmetry_equiv_pos_as_xyz
'x,y,z'
loop_
_atom_site_label
_atom_site_fract_x
_atom_site_fract_y
_atom_site_fract_z
Se1 0.0000 0.0000 0.0000
Br1 0.5000 0.5000 0.0000
Cl1 0.0000 0.5000 0.5000
Cl2 0.5000 0.0000 0.5000
```

Energy   -6.1 eV/f.u.
Energy relative to the lowest polymorph listed for this composition   890 meV/atom
Magnetic moment   0.00 μB/f.u.
Theoretical density   4.43 Mg/m³